No. 1
# LaAgRh2 (PBE-GGA, relaxed)
# Space-group type: R-3m, No. 166
# Formation energy from the elements (eV/atom): 0.055
data_LaAgRh2
_chemical_formula_sum 'La1 Ag1 Rh2'
_cell_length_a 7.613
_cell_length_b 7.613
_cell_length_c 7.613
_cell_angle_alpha 27.00
_cell_angle_beta 27.00
_cell_angle_gamma 27.00
_space_group_name_H-M_alt 'P 1'
_space_group_IT_number 1
loop_
_space_group_symop_operation_xyz
'x,y,z'
loop_
_atom_site_label
_atom_site_type_symbol
_atom_site_fract_x
_atom_site_fract_y
_atom_site_fract_z
La1 La 0.000 0.000 0.000
Ag1 Ag 0.500 0.500 0.500
Rh1 Rh 0.750 0.750 0.750
Rh2 Rh 0.250 0.250 0.250



No. 2
# La4Ag5Rh2 (PBE-GGA, relaxed)
# Space-group type: P2/m, No. 10
# Formation energy from the elements (eV/atom): -0.425
data_La4Ag5Rh2
_chemical_formula_sum 'La4 Ag5 Rh2'
_cell_length_a 3.926
_cell_length_b 7.599
_cell_length_c 9.212
_cell_angle_alpha 94.36
_cell_angle_beta 90.00
_cell_angle_gamma 90.00
_space_group_name_H-M_alt 'P 1'
_space_group_IT_number 1
loop_
_space_group_symop_operation_xyz
'x,y,z'
loop_
_atom_site_label
_atom_site_type_symbol
_atom_site_fract_x
_atom_site_fract_y
_atom_site_fract_z
La1 La 0.500 0.226 0.432
La2 La 0.500 0.809 0.146
La3 La 0.500 0.774 0.568
La4 La 0.500 0.191 0.854
Ag1 Ag 0.000 0.459 0.675
Ag2 Ag 0.000 0.817 0.858
Ag3 Ag 0.000 0.500 0.000
Ag4 Ag 0.000 0.183 0.142
Ag5 Ag 0.000 0.541 0.325
Rh1 Rh 0.000 0.925 0.350
Rh2 Rh 0.000 0.075 0.650



No. 3
# LaAg2Rh (PBE-GGA, relaxed)
# Space-group type: P2_1/m, No. 11
# Excess energy over the best structure of this formula in the dataset (meV/atom): 51
# Formation energy from the elements (eV/atom): -0.328
data_LaAg2Rh
_chemical_formula_sum 'La2 Ag4 Rh2'
_cell_length_a 4.483
_cell_length_b 5.335
_cell_length_c 7.992
_cell_angle_alpha 90.00
_cell_angle_beta 90.00
_cell_angle_gamma 114.90
_space_group_name_H-M_alt 'P 1'
_space_group_IT_number 1
loop_
_space_group_symop_operation_xyz
'x,y,z'
loop_
_atom_site_label
_atom_site_type_symbol
_atom_site_fract_x
_atom_site_fract_y
_atom_site_fract_z
La1 La 0.064 0.126 0.250
La2 La 0.936 0.874 0.750
Ag1 Ag 0.355 0.710 0.052
Ag2 Ag 0.355 0.710 0.448
Ag3 Ag 0.645 0.290 0.948
Ag4 Ag 0.645 0.290 0.552
Rh1 Rh 0.789 0.580 0.250
Rh2 Rh 0.211 0.420 0.750



Asked for E_tot across the records above, the calculation gives -5.57, -4.85, -4.82 eV/atom in order.
Asked for total magnetization across the records above, the calculation gives 0.00, 0.00, 0.00 μB/f.u. in order.